{"formula": "TlCd3In", "functional": "GGA-PBE", "state": "relaxed", "cell": [[-4.8046, -3.1191, -1.8548], [5.2609, -4.9347, -5.3290], [-0.0753, -5.1208, 8.8064]], "species": ["Cd", "Cd", "Cd", "Cd", "Cd", "Cd", "Cd", "Cd", "Cd", "Cd", "Cd", "Cd", "Tl", "Tl", "Tl", "Tl", "In", "In", "In", "In"], "fractional_positions": [[0.0612, 0.3707, 0.0674], [0.2064, 0.0876, 0.3533], [0.9806, 0.3824, 0.3699], [0.4806, 0.6176, 0.1301], [0.4388, 0.3707, 0.5674], [0.5194, 0.3824, 0.8699], [0.9388, 0.6293, 0.9326], [0.2936, 0.0876, 0.8533], [0.5612, 0.6293, 0.4326], [0.0194, 0.6176, 0.6301], [0.7064, 0.9124, 0.1467], [0.7936, 0.9124, 0.6467], [0.0240, 0.7110, 0.2977], [0.4760, 0.7110, 0.7977], [0.9760, 0.2890, 0.7023], [0.5240, 0.2890, 0.2023], [0.2099, 0.9162, 0.0647], [0.7099, 0.0838, 0.4353], [0.7901, 0.0838, 0.9353], [0.2901, 0.9162, 0.5647]], "e_tot_ev_per_atom": -1.51, "dos_ef_per_ev_fu": 1.81, "crystal_system": "monoclinic", "magnetic_moment_mub_per_fu": 0.0, "ef_mev_per_atom": 60}